Record 1
The following is a GGA-PBEsol calculation of a geometry-optimized KReAu2 structure, from Alexandria. Values from VASP.

Polymorph energy (0 for the lowest one) (kJ/mol of formula units): 0.0
Formation energy (eV per atom): 0.636
DFT total energy (eV per atom): -4.942

Quantum ESPRESSO input file:
```
&SYSTEM
  ibrav = 0, nat = 4, ntyp = 3
/
ATOMIC_SPECIES
Au 196.97 Au.upf
K 39.10 K.upf
Re 186.21 Re.upf
CELL_PARAMETERS angstrom
-0.607 1.229 2.313
-1.950 -4.156 0.133
6.269 -2.237 2.834
ATOMIC_POSITIONS crystal
Au 0.760 0.519 0.820
Au 0.240 0.481 0.180
K 0.000 0.000 0.500
Re 0.500 0.000 0.000
```

---

Record 2
The following is a GGA-PBEsol calculation of a geometry-optimized NiSe structure, from Alexandria. Values from VASP.

DFT total energy (eV per atom): -5.337

Quantum ESPRESSO input file:
```
&SYSTEM
  ibrav = 0, nat = 6, ntyp = 2
/
ATOMIC_SPECIES
Se 78.96 Se.upf
Ni 58.69 Ni.upf
CELL_PARAMETERS angstrom
-2.983 1.225 -0.649
-1.118 -5.669 0.001
1.082 2.414 5.137
ATOMIC_POSITIONS crystal
Se 0.276 0.660 0.000
Se 0.617 0.340 0.340
Se 0.276 0.000 0.660
Ni 0.992 0.000 0.257
Ni 0.992 0.257 0.000
Ni 0.735 0.743 0.743
```

---

Record 3
The following is a GGA-PBEsol calculation of a geometry-optimized BiMoI2O structure, from Alexandria. Values from VASP.

DFT total energy (eV per atom): -5.208

Quantum ESPRESSO input file:
```
&SYSTEM
  ibrav = 0, nat = 5, ntyp = 4
/
ATOMIC_SPECIES
I 126.90 I.upf
Bi 208.98 Bi.upf
O 16.00 O.upf
Mo 95.94 Mo.upf
CELL_PARAMETERS angstrom
3.778 0.000 0.000
0.000 5.625 0.000
0.000 0.000 5.625
ATOMIC_POSITIONS crystal
I 0.000 0.000 0.500
I 0.000 0.500 0.000
Bi 0.500 0.500 0.500
O 0.500 0.000 0.000
Mo 0.000 0.000 0.000
```